This record from Alexandria via LeMat-Bulk describes PaPRh after structural relaxation. The functional is PBE-GGA.

Cell: 5.012 5.012 5.012 Å, 136.83 136.83 62.70°
Sites, in units of the cell vectors:
Pa1 0.000 0.000 0.000
P1 0.643 0.643 0.000
Rh1 0.352 0.352 0.000

Final energy = -8.084 eV/atom
Total magnetic moment = 0.00 μB/f.u.
Formation energy from the elements = -665 meV/atom